Entry 1:
# ScNi2HRu

A relaxed ScNi2HRu crystal (PBE, Alexandria).

Geometry as POSCAR:
```
ScNi2HRu
1.0
-2.446 2.133 1.980
0.064 -2.546 2.822
2.997 1.904 1.651
Sc Ru H Ni
1 1 1 2
Direct
0.500 0.500 0.500
0.000 0.000 0.500
0.000 0.000 0.000
0.000 0.500 0.000
0.500 0.000 0.000
```

## Properties
Total magnetization: 0.000 μB per atom
DOS at the Fermi energy: 1.179 states/eV/atom
Mass density: 7.76 Mg/m³
E_tot: -6.3775 eV/atom

=====

Entry 2:
# YHoAu

A relaxed YHoAu crystal (PBE, Alexandria).

Geometry as POSCAR:
```
YHoAu
1.0
-0.213 3.495 0.813
-3.567 -0.296 0.337
2.565 -2.945 5.384
Y Au Ho
1 1 1
Direct
0.020 0.020 0.041
0.670 0.670 0.339
0.310 0.310 0.620
```

## Properties
Total magnetization: 0.307 μB per atom
E_form: -0.5454 eV per atom
DOS at the Fermi energy: 1.048 states/eV/atom
Mass density: 9.42 Mg/m³
E_tot: -5.3185 eV/atom

=====

Entry 3:
# Fe3AsW

A relaxed Fe3AsW crystal (PBE, Alexandria).

Geometry as POSCAR:
```
Fe3AsW
1.0
-2.802 -1.435 2.745
0.027 -3.713 -1.913
3.098 -1.266 2.500
As Fe W
1 3 1
Direct
0.000 0.000 0.000
0.000 0.500 0.000
0.000 0.000 0.500
0.500 0.000 0.000
0.500 0.500 0.500
```

## Properties
Total magnetization: 0.000 μB per atom
E_form: 1.2590 eV per atom
DOS at the Fermi energy: 2.761 states/eV/atom
Mass density: 9.71 Mg/m³
E_tot: -7.3392 eV/atom

=====

Entry 4:
# Ni2RhI2

A relaxed Ni2RhI2 crystal (PBE, Alexandria).

Geometry as POSCAR:
```
Ni2RhI2
1.0
-0.311 -2.488 -4.337
-2.525 -3.672 2.288
-4.729 -1.294 -1.811
I Ni Rh
2 2 1
Direct
0.750 0.250 0.500
0.250 0.750 0.500
0.342 0.342 0.316
0.658 0.658 0.684
0.000 0.000 0.000
```

## Properties
Total magnetization: 0.000 μB per atom
DOS at the Fermi energy: 0.636 states/eV/atom
Mass density: 8.16 Mg/m³
E_tot: -3.7226 eV/atom
Raw formation energy: 3.40 eV/f.u.

=====

Entry 5:
# InMo2Os

A relaxed InMo2Os crystal (PBE, Alexandria).

Geometry as POSCAR:
```
InMo2Os
1.0
-0.485 -4.911 2.048
0.346 -5.225 -1.063
3.811 -1.848 1.204
In Mo Os
1 2 1
Direct
0.750 0.750 0.750
0.993 0.993 0.007
0.507 0.507 0.493
0.250 0.250 0.250
```

## Properties
Total magnetization: 0.000 μB per atom
E_form: 0.2621 eV per atom
DOS at the Fermi energy: 0.372 states/eV/atom
Mass density: 12.61 Mg/m³
E_tot: -8.6455 eV/atom

=====

Entry 6:
# Y6ThSc3

A relaxed Y6ThSc3 crystal (PBE, Alexandria).

Geometry as POSCAR:
```
Y6ThSc3
1.0
-0.432 4.526 4.193
-7.432 4.965 -6.125
-2.552 -7.287 7.602
Y Th Sc
12 2 6
Direct
0.004 0.703 0.634
0.504 0.634 0.703
0.354 0.574 0.982
0.854 0.982 0.574
0.387 0.949 0.051
0.670 0.320 0.680
0.170 0.680 0.320
0.887 0.051 0.949
0.354 0.018 0.426
0.854 0.426 0.018
0.004 0.366 0.297
0.504 0.297 0.366
0.231 0.215 0.785
0.731 0.785 0.215
0.420 0.920 0.697
0.920 0.697 0.920
0.140 0.383 0.617
0.640 0.617 0.383
0.920 0.080 0.303
0.420 0.303 0.080
```

## Properties
Total magnetization: 0.000 μB per atom
E_form: 0.1798 eV per atom
DOS at the Fermi energy: 1.430 states/eV/atom
Mass density: 4.90 Mg/m³
E_tot: -6.3401 eV/atom

=====

Entry 7:
# CaTe2SeI

A relaxed CaTe2SeI crystal (PBE, Alexandria).

Geometry as POSCAR:
```
CaTe2SeI
1.0
-1.038 -3.296 4.892
4.874 -3.278 -1.174
3.228 3.669 3.158
I Ca Te Se
1 1 2 1
Direct
0.000 0.000 0.500
0.000 0.000 0.000
0.000 0.500 0.000
0.500 0.000 0.000
0.500 0.500 0.500
```

## Properties
Total magnetization: 0.081 μB per atom
DOS at the Fermi energy: 1.465 states/eV/atom
Mass density: 3.99 Mg/m³
E_tot: -2.4696 eV/atom
Raw formation energy: 0.97 eV/f.u.

=====

Entry 8:
# ZrMnSn

A relaxed ZrMnSn crystal (PBE, Alexandria).

Geometry as POSCAR:
```
ZrMnSn
1.0
3.378 0.000 0.000
0.000 3.378 0.000
-1.689 -1.689 5.050
Mn Sn Zr
1 1 1
Direct
0.946 0.946 0.892
0.299 0.299 0.599
0.605 0.605 0.209
```

## Properties
Total magnetization: 0.834 μB per atom
E_form: -0.0931 eV per atom
DOS at the Fermi energy: 1.082 states/eV/atom
Mass density: 7.63 Mg/m³
E_tot: -7.3333 eV/atom

=====

Entry 9:
# Ba2HgS

A relaxed Ba2HgS crystal (PBE, Alexandria).

Geometry as POSCAR:
```
Ba2HgS
1.0
8.564 0.000 0.000
0.000 8.564 0.000
4.282 4.282 4.636
S Hg Ba
2 2 4
Direct
0.500 0.500 0.000
0.250 0.750 0.500
0.000 0.000 0.000
0.750 0.250 0.500
0.584 0.125 0.250
0.166 0.625 0.250
0.375 0.416 0.750
0.875 0.834 0.750
```

## Properties
Total magnetization: 0.000 μB per atom
DOS at the Fermi energy: 0.411 states/eV/atom
Mass density: 4.95 Mg/m³
E_tot: -3.0876 eV/atom
Raw formation energy: -4.08 eV/f.u.

=====

Entry 10:
# CePm6Sm2

A relaxed CePm6Sm2 crystal (PBE, Alexandria).

Geometry as POSCAR:
```
CePm6Sm2
1.0
-5.946 -2.938 2.382
2.949 -8.016 -2.488
0.096 9.787 12.303
Ce Pm Sm
2 12 4
Direct
0.500 0.500 0.000
0.000 0.000 0.500
0.001 0.249 0.838
0.262 0.235 0.439
0.239 0.265 0.061
0.738 0.237 0.440
0.762 0.263 0.060
0.499 0.251 0.662
0.999 0.751 0.162
0.738 0.765 0.561
0.761 0.735 0.939
0.262 0.763 0.560
0.238 0.737 0.940
0.501 0.749 0.338
0.500 0.189 0.224
0.000 0.311 0.276
0.000 0.689 0.724
0.500 0.811 0.776
```

## Properties
Total magnetization: 0.111 μB per atom
E_form: 0.1525 eV per atom
DOS at the Fermi energy: 1.936 states/eV/atom
Mass density: 7.03 Mg/m³
E_tot: -4.7226 eV/atom

=====

Q: Among the records above, which one has the lowest mass density?
A: CaTe2SeI